(1)
This record from Alexandria via LeMat-Bulk describes a geometry-optimized PmHN structure. The functional is PBE.

Summary:
Volume in A^3/atom: 12.92
Offset from the most stable computed form in meV per atom: 221
SG: I4mm, No. 107
Total magnetization in μB/f.u.: 0.000

Cell: 3.601 3.601 3.927 Å, 117.29 117.29 90.00°
Atoms (fractional coordinates):
H1 0.028 0.028 0.056
Pm1 0.615 0.615 0.230
N1 0.207 0.207 0.414


(2)
This record from Alexandria via LeMat-Bulk describes a geometry-optimized PrSm3N4 structure. The functional is PBE.

Summary:
Volume in A^3/atom: 16.70
E_form (uncorrected) in meV/atom: -1424
Offset from the most stable computed form in meV per atom: 4
SG: Pm-3m, No. 221
Total magnetization in μB/f.u.: 0.000

Cell: 5.112 5.112 5.112 Å, 90.00 90.00 90.00°
Atoms (fractional coordinates):
Pr1 0.000 0.000 0.000
Sm1 0.000 0.500 0.500
Sm2 0.500 0.000 0.500
Sm3 0.500 0.500 0.000
N1 0.500 0.000 0.000
N2 0.000 0.500 0.000
N3 0.000 0.000 0.500
N4 0.500 0.500 0.500


(3)
This record from Alexandria via LeMat-Bulk describes a geometry-optimized KTa2Se structure. The functional is PBE.

Summary:
Volume in A^3/atom: 23.41
E_form (uncorrected) in meV/atom: 103
SG: R3m, No. 160
Total magnetization in μB/f.u.: 0.273

Cell: 9.834 9.834 9.834 Å, 19.60 19.60 19.60°
Site moments in Bohr magnetons follow the coordinates.
Atoms (fractional coordinates):
K1 0.491 0.491 0.491  0.00
Se1 0.734 0.734 0.734  0.00
Ta1 0.006 0.006 0.006  0.02
Ta2 0.269 0.269 0.269  0.15


(4)
This record from Alexandria via LeMat-Bulk describes a geometry-optimized AcGd2Y structure. The functional is PBE.

Summary:
Volume in A^3/atom: 36.06
Offset from the most stable computed form in meV per atom: 127
SG: R-3m, No. 166
Total magnetization in μB/f.u.: 15.020
ΔE_f in eV/atom: 0.170

Cell: 3.617 3.617 12.902 Å, 81.94 81.94 60.00°
Site moments in Bohr magnetons follow the coordinates.
Atoms (fractional coordinates):
Y1 0.500 0.500 0.500  0.07
Ac1 0.000 0.000 0.000  -0.07
Gd1 0.092 0.092 0.723  -7.23
Gd2 0.908 0.908 0.277  -7.23


(5)
This record from Alexandria via LeMat-Bulk describes a geometry-optimized Tm8Al3Bi2 structure. The functional is PBE.

Summary:
Volume in A^3/atom: 28.57
SG: Cmmm, No. 65
Total magnetization in μB/f.u.: 0.000
ΔE_f in eV/atom: -0.266

Cell: 4.890 9.968 9.105 Å, 123.19 89.99 90.00°
Atoms (fractional coordinates):
Tm1 0.000 0.608 0.215
Tm2 0.000 0.392 0.785
Tm3 0.000 0.122 0.245
Tm4 0.000 0.878 0.755
Tm5 0.500 0.639 0.767
Tm6 0.500 0.128 0.767
Tm7 0.500 0.872 0.233
Tm8 0.500 0.361 0.233
Al1 0.500 0.000 0.000
Al2 0.000 0.246 0.000
Al3 0.000 0.754 0.000
Bi1 0.500 0.261 0.522
Bi2 0.500 0.739 0.478


(6)
This record from Alexandria via LeMat-Bulk describes a geometry-optimized ThGa4Ni12 structure. The functional is PBE.

Summary:
Volume in A^3/atom: 14.83
SG: Im-3, No. 204
Total magnetization in μB/f.u.: 0.000
ΔE_f in eV/atom: 0.192

Cell: 6.893 6.893 6.893 Å, 109.47 109.47 109.47°
Atoms (fractional coordinates):
Th1 0.000 0.000 0.000
Ga1 0.000 0.500 0.000
Ga2 0.500 0.000 0.000
Ga3 0.500 0.500 0.500
Ga4 0.000 0.000 0.500
Ni1 0.852 0.355 0.207
Ni2 0.355 0.503 0.148
Ni3 0.793 0.148 0.645
Ni4 0.355 0.207 0.852
Ni5 0.207 0.852 0.355
Ni6 0.645 0.497 0.852
Ni7 0.503 0.148 0.355
Ni8 0.497 0.852 0.645
Ni9 0.645 0.793 0.148
Ni10 0.852 0.645 0.497
Ni11 0.148 0.355 0.503
Ni12 0.148 0.645 0.793


- Among the records above, which one has the highest total magnetization?
  AcGd2Y


Repeat the third record exactly.
This record from Alexandria via LeMat-Bulk describes a geometry-optimized KTa2Se structure. The functional is PBE.

Summary:
Volume in A^3/atom: 23.41
E_form (uncorrected) in meV/atom: 103
SG: R3m, No. 160
Total magnetization in μB/f.u.: 0.273

Cell: 9.834 9.834 9.834 Å, 19.60 19.60 19.60°
Site moments in Bohr magnetons follow the coordinates.
Atoms (fractional coordinates):
K1 0.491 0.491 0.491  0.00
Se1 0.734 0.734 0.734  0.00
Ta1 0.006 0.006 0.006  0.02
Ta2 0.269 0.269 0.269  0.15


What did the third record say?
This record from Alexandria via LeMat-Bulk describes a geometry-optimized KTa2Se structure. The functional is PBE.

Summary:
Volume in A^3/atom: 23.41
E_form (uncorrected) in meV/atom: 103
SG: R3m, No. 160
Total magnetization in μB/f.u.: 0.273

Cell: 9.834 9.834 9.834 Å, 19.60 19.60 19.60°
Site moments in Bohr magnetons follow the coordinates.
Atoms (fractional coordinates):
K1 0.491 0.491 0.491  0.00
Se1 0.734 0.734 0.734  0.00
Ta1 0.006 0.006 0.006  0.02
Ta2 0.269 0.269 0.269  0.15